(1)
# MnBeOs2 PBE relaxed
data_MnBeOs2
_chemical_formula_sum 'Mn4 Be4 Os8'
_space_group_name_H-M_alt 'F -4 3 m'
_space_group_IT_number 216
_space_group_name_Hall 'F -4 2 3'
_cell_length_a 5.8451
_cell_length_b 5.8451
_cell_length_c 5.8451
_cell_angle_alpha 90.00
_cell_angle_beta 90.00
_cell_angle_gamma 90.00
loop_
_atom_site_label
_atom_site_type_symbol
_atom_site_fract_x
_atom_site_fract_y
_atom_site_fract_z
Mn1 Mn 0.0000 0.0000 0.0000
Be1 Be 0.2500 0.2500 0.7500
Os1 Os 0.0000 0.0000 0.5000
Os2 Os 0.2500 0.2500 0.2500
# Calculated formation energy ... 0.2384 eV per atom


(2)
# MnBeOs PBE relaxed
data_MnBeOs
_chemical_formula_sum 'Mn4 Be4 Os4'
_space_group_name_H-M_alt 'F m m 2'
_space_group_IT_number 42
_space_group_name_Hall 'F 2 -2'
_cell_length_a 2.9517
_cell_length_b 4.2798
_cell_length_c 11.4978
_cell_angle_alpha 90.00
_cell_angle_beta 90.00
_cell_angle_gamma 90.00
loop_
_atom_site_label
_atom_site_type_symbol
_atom_site_fract_x
_atom_site_fract_y
_atom_site_fract_z
Mn1 Mn 0.0000 0.0000 0.0000
Be1 Be 0.0000 0.0000 0.6563
Os1 Os 0.0000 0.0000 0.3178
# Calculated formation energy ... 0.2127 eV per atom
# ΔE to the lowest computed polymorph ... 384 meV per atom


(3)
# MnBeOs2 PBE relaxed
data_MnBeOs2
_chemical_formula_sum 'Mn1 Be1 Os2'
_space_group_name_H-M_alt 'P 1 m 1'
_space_group_IT_number 6
_space_group_name_Hall 'P -2y'
_cell_length_a 2.6696
_cell_length_b 3.8726
_cell_length_c 4.8429
_cell_angle_alpha 90.00
_cell_angle_beta 105.92
_cell_angle_gamma 90.00
loop_
_atom_site_label
_atom_site_type_symbol
_atom_site_fract_x
_atom_site_fract_y
_atom_site_fract_z
Mn1 Mn 0.0000 0.0000 0.0000
Be1 Be 0.8707 0.5000 0.7365
Os1 Os 0.2726 0.0000 0.5450
Os2 Os 0.6103 0.5000 0.2179
# Calculated formation energy ... 0.0610 eV per atom


(4)
# MnBeOs2 PBE relaxed
data_MnBeOs2
_chemical_formula_sum 'Mn2 Be2 Os4'
_space_group_name_H-M_alt 'C 1 2/m 1'
_space_group_IT_number 12
_space_group_name_Hall '-C 2y'
_cell_length_a 8.2875
_cell_length_b 2.6793
_cell_length_c 4.6635
_cell_angle_alpha 90.00
_cell_angle_beta 101.15
_cell_angle_gamma 90.00
loop_
_atom_site_label
_atom_site_type_symbol
_atom_site_fract_x
_atom_site_fract_y
_atom_site_fract_z
Mn1 Mn 0.0000 0.0000 0.0000
Be1 Be 0.0000 0.5000 0.5000
Os1 Os 0.2494 0.0000 0.7409
# Calculated formation energy ... 0.0759 eV per atom


(5)
# MnBeReOs PBE relaxed
data_MnBeReOs
_chemical_formula_sum 'Mn4 Be4 Re4 Os4'
_space_group_name_H-M_alt 'F -4 3 m'
_space_group_IT_number 216
_space_group_name_Hall 'F -4 2 3'
_cell_length_a 5.8577
_cell_length_b 5.8577
_cell_length_c 5.8577
_cell_angle_alpha 90.00
_cell_angle_beta 90.00
_cell_angle_gamma 90.00
loop_
_atom_site_label
_atom_site_type_symbol
_atom_site_fract_x
_atom_site_fract_y
_atom_site_fract_z
Mn1 Mn 0.0000 0.0000 0.0000
Be1 Be 0.2500 0.2500 0.2500
Re1 Re 0.2500 0.2500 0.7500
Os1 Os 0.0000 0.0000 0.5000
# Calculated formation energy ... 0.0376 eV per atom


(6)
# Mn2BeReOs PBE relaxed
data_Mn2BeReOs
_chemical_formula_sum 'Mn2 Be1 Re1 Os1'
_space_group_name_H-M_alt 'P 4/m m m'
_space_group_IT_number 123
_space_group_name_Hall '-P 4 2'
_cell_length_a 4.4579
_cell_length_b 4.4579
_cell_length_c 4.1421
_cell_angle_alpha 90.00
_cell_angle_beta 90.00
_cell_angle_gamma 90.00
loop_
_atom_site_label
_atom_site_type_symbol
_atom_site_fract_x
_atom_site_fract_y
_atom_site_fract_z
Mn1 Mn 0.0000 0.5000 0.0000
Be1 Be 0.0000 0.0000 0.5000
Re1 Re 0.0000 0.0000 0.0000
Os1 Os 0.5000 0.5000 0.5000
# Calculated formation energy ... 1.7042 eV per atom


(7)
# ScMnBe2Os PBE relaxed
data_ScMnBe2Os
_chemical_formula_sum 'Sc1 Mn1 Be2 Os1'
_space_group_name_H-M_alt 'P 4/m m m'
_space_group_IT_number 123
_space_group_name_Hall '-P 4 2'
_cell_length_a 4.2657
_cell_length_b 4.2657
_cell_length_c 4.5673
_cell_angle_alpha 90.00
_cell_angle_beta 90.00
_cell_angle_gamma 90.00
loop_
_atom_site_label
_atom_site_type_symbol
_atom_site_fract_x
_atom_site_fract_y
_atom_site_fract_z
Sc1 Sc 0.0000 0.0000 0.0000
Mn1 Mn 0.5000 0.5000 0.0000
Be1 Be 0.0000 0.5000 0.5000
Os1 Os 0.5000 0.5000 0.5000
# Calculated formation energy ... 0.4347 eV per atom


(8)
# Mn5Be2SiOs2 PBE relaxed
data_Mn5Be2SiOs2
_chemical_formula_sum 'Mn10 Be4 Si2 Os4'
_space_group_name_H-M_alt 'P 4/m b m'
_space_group_IT_number 127
_space_group_name_Hall '-P 4 2ab'
_cell_length_a 8.7401
_cell_length_b 8.7401
_cell_length_c 2.8170
_cell_angle_alpha 90.00
_cell_angle_beta 90.00
_cell_angle_gamma 90.00
loop_
_atom_site_label
_atom_site_type_symbol
_atom_site_fract_x
_atom_site_fract_y
_atom_site_fract_z
Mn1 Mn 0.0000 0.5000 0.0000
Mn2 Mn 0.0562 0.2039 0.0000
Be1 Be 0.1268 0.3732 0.5000
Si1 Si 0.0000 0.0000 0.5000
Os1 Os 0.1772 0.6772 0.5000
# Formation energy from raw total energies ... -47 meV per atom


(9)
# MnBeTl2Os PBE relaxed
data_MnBeTl2Os
_chemical_formula_sum 'Mn1 Be1 Tl2 Os1'
_space_group_name_H-M_alt 'P 4/m m m'
_space_group_IT_number 123
_space_group_name_Hall '-P 4 2'
_cell_length_a 5.3114
_cell_length_b 5.3114
_cell_length_c 4.7650
_cell_angle_alpha 90.00
_cell_angle_beta 90.00
_cell_angle_gamma 90.00
loop_
_atom_site_label
_atom_site_type_symbol
_atom_site_fract_x
_atom_site_fract_y
_atom_site_fract_z
Mn1 Mn 0.0000 0.0000 0.0000
Be1 Be 0.5000 0.5000 0.0000
Tl1 Tl 0.0000 0.5000 0.5000
Os1 Os 0.0000 0.0000 0.5000
# Calculated formation energy ... 1.2182 eV per atom


(10)
# UMnBeOs PBE relaxed
data_UMnBeOs
_chemical_formula_sum 'U4 Mn4 Be4 Os4'
_space_group_name_H-M_alt 'F -4 3 m'
_space_group_IT_number 216
_space_group_name_Hall 'F -4 2 3'
_cell_length_a 6.2336
_cell_length_b 6.2336
_cell_length_c 6.2336
_cell_angle_alpha 90.00
_cell_angle_beta 90.00
_cell_angle_gamma 90.00
loop_
_atom_site_label
_atom_site_type_symbol
_atom_site_fract_x
_atom_site_fract_y
_atom_site_fract_z
U1 U 0.0000 0.0000 0.0000
Mn1 Mn 0.2500 0.2500 0.7500
Be1 Be 0.0000 0.0000 0.5000
Os1 Os 0.2500 0.2500 0.2500
# Calculated formation energy ... 0.1865 eV per atom


(11)
# MnBeOsW PBE relaxed
data_MnBeOsW
_chemical_formula_sum 'Mn4 Be4 Os4 W4'
_space_group_name_H-M_alt 'F -4 3 m'
_space_group_IT_number 216
_space_group_name_Hall 'F -4 2 3'
_cell_length_a 5.9065
_cell_length_b 5.9065
_cell_length_c 5.9065
_cell_angle_alpha 90.00
_cell_angle_beta 90.00
_cell_angle_gamma 90.00
loop_
_atom_site_label
_atom_site_type_symbol
_atom_site_fract_x
_atom_site_fract_y
_atom_site_fract_z
Mn1 Mn 0.0000 0.0000 0.0000
Be1 Be 0.2500 0.2500 0.7500
Os1 Os 0.0000 0.0000 0.5000
W1 W 0.2500 0.2500 0.2500
# Calculated formation energy ... -0.0299 eV per atom


(12)
# MnBe2P PBE relaxed
data_MnBe2P
_chemical_formula_sum 'Mn1 Be2 P1'
_space_group_name_H-M_alt 'P 4 m m'
_space_group_IT_number 99
_space_group_name_Hall 'P 4 -2'
_cell_length_a 2.5188
_cell_length_b 2.5188
_cell_length_c 7.5048
_cell_angle_alpha 90.00
_cell_angle_beta 90.00
_cell_angle_gamma 90.00
loop_
_atom_site_label
_atom_site_type_symbol
_atom_site_fract_x
_atom_site_fract_y
_atom_site_fract_z
Mn1 Mn 0.0000 0.0000 0.0000
Be1 Be 0.0000 0.0000 0.6276
Be2 Be 0.5000 0.5000 0.7886
P1 P 0.5000 0.5000 0.2239
# Calculated formation energy ... 0.1965 eV per atom